(one)
Here is a geometry-optimized Bi2SeF structure from Alexandria. Energies are from PBE-GGA.

POSCAR file:
```
Bi2SeF
1.0
-3.7988 3.7988 3.3560
3.7988 -3.7988 3.3560
3.7988 3.7988 -3.3560
Bi Se F
4 2 2
direct
0.0963 0.1250 0.4713
0.3750 0.9037 0.0287
0.6537 0.6250 0.5287
0.8750 0.3463 0.9713
0.2500 0.7500 0.5000
0.5000 0.5000 0.0000
0.0000 0.0000 0.0000
0.7500 0.2500 0.5000
```

density of states at the Fermi level	0.530	states/eV/atom

(two)
Here is a geometry-optimized Bi2SeF structure from Alexandria. Energies are from PBE-GGA.

POSCAR file:
```
Bi2SeF
1.0
0.0000 3.5793 3.5793
3.5793 0.0000 3.5793
3.5793 3.5793 0.0000
Bi Se F
2 1 1
direct
0.2500 0.2500 0.2500
0.7500 0.7500 0.7500
0.0000 0.0000 0.0000
0.5000 0.5000 0.5000
```

density of states at the Fermi level	0.389	states/eV/atom

Result of the stability comparison: (two) is the least stable of them.

(one)
Here is a geometry-optimized Si2BiF structure from Alexandria. Energies are from PBE-GGA.

POSCAR file:
```
Si2BiF
1.0
-2.2407 2.2407 8.0859
2.2407 -2.2407 8.0859
2.2407 2.2407 -8.0859
Si Bi F
4 2 2
direct
0.0072 0.6250 0.8822
0.3750 0.2572 0.3822
0.7428 0.1250 0.1178
0.8750 0.9928 0.6178
0.2500 0.7500 0.5000
0.5000 0.5000 0.0000
0.0000 0.0000 0.0000
0.7500 0.2500 0.5000
```

density of states at the Fermi level	0.304	states/eV/atom

(two)
Here is a geometry-optimized Si2BiF structure from Alexandria. Energies are from PBE-GGA.

POSCAR file:
```
Si2BiF
1.0
0.0000 3.3868 3.3868
3.3868 0.0000 3.3868
3.3868 3.3868 0.0000
Si Bi F
2 1 1
direct
0.2500 0.2500 0.2500
0.7500 0.7500 0.7500
0.0000 0.0000 0.0000
0.5000 0.5000 0.5000
```

density of states at the Fermi level	0.498	states/eV/atom

Result of the stability comparison: (two) is the least stable of them.

(one)
Here is a geometry-optimized Si3BiF structure from Alexandria. Energies are from PBE-GGA.

POSCAR file:
```
Si3BiF
1.0
4.6063 0.0000 0.0000
0.0000 4.6063 0.0000
0.0000 0.0000 4.6063
Si Bi F
3 1 1
direct
0.0000 0.0000 0.5000
0.0000 0.5000 0.0000
0.5000 0.0000 0.0000
0.5000 0.5000 0.5000
0.0000 0.0000 0.0000
```

density of states at the Fermi level	0.628	states/eV/atom

(two)
Here is a geometry-optimized Si3BiF structure from Alexandria. Energies are from PBE-GGA.

POSCAR file:
```
Si3BiF
1.0
5.4969 0.0000 0.0000
0.0000 5.4969 0.0000
0.0000 0.0000 5.4969
Si Bi F
3 1 1
direct
0.0000 0.0000 0.5000
0.0000 0.5000 0.0000
0.5000 0.0000 0.0000
0.0000 0.0000 0.0000
0.5000 0.5000 0.5000
```

density of states at the Fermi level	0.927	states/eV/atom

Result of the stability comparison: (two) is the least stable of them.

(one)
Here is a geometry-optimized SnBiF6 structure from Alexandria. Energies are from PBE-GGA.

POSCAR file:
```
SnBiF6
1.0
2.8622 -4.3210 0.0000
2.8622 4.3210 0.0000
-1.1085 0.0000 5.5774
Sn Bi F
1 1 6
direct
0.0000 0.0000 0.0000
0.5000 0.5000 0.5000
0.0727 0.3867 0.2511
0.2561 0.2561 0.7704
0.3867 0.0727 0.2511
0.6133 0.9273 0.7489
0.7439 0.7439 0.2296
0.9273 0.6133 0.7489
```

density of states at the Fermi level	0.389	states/eV/atom

(two)
Here is a geometry-optimized SnBiF6 structure from Alexandria. Energies are from PBE-GGA.

POSCAR file:
```
SnBiF6
1.0
2.6266 1.5165 5.1333
-2.6266 1.5165 5.1333
0.0000 -3.0329 5.1333
Sn Bi F
1 1 6
direct
0.0000 0.0000 0.0000
0.5000 0.5000 0.5000
0.0870 0.0870 0.5788
0.0870 0.5788 0.0870
0.4212 0.9130 0.9130
0.5788 0.0870 0.0870
0.9130 0.4212 0.9130
0.9130 0.9130 0.4212
```

density of states at the Fermi level	0.192	states/eV/atom

Result of the stability comparison: (two) is the least stable of them.

(one)
Here is a geometry-optimized SnBi3F structure from Alexandria. Energies are from PBE-GGA.

POSCAR file:
```
SnBi3F
1.0
5.1614 0.0000 0.0000
0.0000 5.1614 0.0000
0.0000 0.0000 5.1614
Sn Bi F
1 3 1
direct
0.0000 0.0000 0.0000
0.0000 0.5000 0.5000
0.5000 0.0000 0.5000
0.5000 0.5000 0.0000
0.5000 0.5000 0.5000
```

density of states at the Fermi level	0.607	states/eV/atom

(two)
Here is a geometry-optimized SnBi3F structure from Alexandria. Energies are from PBE-GGA.

POSCAR file:
```
SnBi3F
1.0
5.8046 0.0000 0.0000
0.0000 5.8046 0.0000
0.0000 0.0000 5.8046
Sn Bi F
1 3 1
direct
0.0000 0.0000 0.0000
0.0000 0.0000 0.5000
0.0000 0.5000 0.0000
0.5000 0.0000 0.0000
0.5000 0.5000 0.5000
```

density of states at the Fermi level	0.831	states/eV/atom

Result of the stability comparison: (two) is the least stable of them.

(one)
Here is a geometry-optimized TaBiF3 structure from Alexandria. Energies are from PBE-GGA.

POSCAR file:
```
TaBiF3
1.0
4.3479 0.0000 0.0000
0.0000 4.3479 0.0000
0.0000 0.0000 4.3479
Ta Bi F
1 1 3
direct
0.0000 0.0000 0.0000
0.5000 0.5000 0.5000
0.0000 0.0000 0.5000
0.0000 0.5000 0.0000
0.5000 0.0000 0.0000
```

density of states at the Fermi level	0.498	states/eV/atom

(two)
Here is a geometry-optimized TaBiF3 structure from Alexandria. Energies are from PBE-GGA.

POSCAR file:
```
TaBiF3
1.0
4.6806 0.0000 0.0000
0.0000 4.6806 0.0000
0.0000 0.0000 4.6806
Ta Bi F
1 1 3
direct
0.0000 0.0000 0.0000
0.5000 0.5000 0.5000
0.0000 0.5000 0.5000
0.5000 0.0000 0.5000
0.5000 0.5000 0.0000
```

density of states at the Fermi level	1.651	states/eV/atom

Result of the stability comparison: (two) is the least stable of them.

(one)
Here is a geometry-optimized TaBiF2 structure from Alexandria. Energies are from PBE-GGA.

POSCAR file:
```
TaBiF2
1.0
0.0000 3.1706 3.1706
3.1706 0.0000 3.1706
3.1706 3.1706 0.0000
Ta Bi F
1 1 2
direct
0.0000 0.0000 0.0000
0.5000 0.5000 0.5000
0.2500 0.2500 0.2500
0.7500 0.7500 0.7500
```

density of states at the Fermi level	0.042	states/eV/atom

(two)
Here is a geometry-optimized TaBiF2 structure from Alexandria. Energies are from PBE-GGA.

POSCAR file:
```
TaBiF2
1.0
-2.2493 2.2493 7.0923
2.2493 -2.2493 7.0923
2.2493 2.2493 -7.0923
Ta Bi F
2 2 4
direct
0.0000 0.0000 0.0000
0.7500 0.2500 0.5000
0.2500 0.7500 0.5000
0.5000 0.5000 0.0000
0.3750 0.1832 0.3082
0.8168 0.1250 0.1918
0.8750 0.0668 0.6918
0.9332 0.6250 0.8082
```

density of states at the Fermi level	0.487	states/eV/atom

Result of the stability comparison: (one) is the least stable of them.